Entry 1:
A relaxed La3Y2PuN6 crystal, computed with PBE.

Computed properties:
The total energy comes out at -108.91 eV per cell. Its mass density is 7.8 g/cm³. As for the space group: C2/m (12). The calculation puts the density of states at the Fermi level at 6.66 states/eV/cell. The value obtained for the total moment is 0.348 μB per atom.

Unit cell a=6.194 b=6.194 c=6.290 alpha=99.49 beta=99.49 gamma=119.91
Sites, in units of the cell vectors:
La  0.000  0.000  0.000
La  0.332  0.668  0.000
La  0.668  0.332  0.000
Y  0.166  0.834  0.500
Y  0.834  0.166  0.500
Pu  0.500  0.500  0.500
N  0.107  0.426  0.276
N  0.255  0.255  0.728
N  0.426  0.107  0.276
N  0.574  0.893  0.724
N  0.745  0.745  0.272
N  0.893  0.574  0.724

Entry 2:
A relaxed LaPuZnN3 crystal, computed with PBE.

Computed properties:
The total energy comes out at -100.94 eV per cell. Its mass density is 8.7 g/cm³. As for the space group: P2_1/m (11). The calculation puts the density of states at the Fermi level at 15.31 states/eV/cell. The value obtained for the total moment is 0.667 μB per atom.

Unit cell a=7.356 b=3.496 c=7.427 alpha=90.00 beta=100.39 gamma=90.00
Sites, in units of the cell vectors:
La  0.212  0.250  0.186
La  0.788  0.750  0.814
Pu  0.169  0.250  0.650
Pu  0.831  0.750  0.350
Zn  0.404  0.750  0.903
Zn  0.596  0.250  0.097
N  0.129  0.750  0.853
N  0.136  0.750  0.430
N  0.491  0.750  0.193
N  0.509  0.250  0.807
N  0.864  0.250  0.570
N  0.871  0.250  0.147

Entry 3:
A relaxed LaPuZrN3 crystal, computed with PBE.

Computed properties:
The total energy comes out at -117.72 eV per cell. Its mass density is 8.0 g/cm³. As for the space group: P2_1/m (11). The calculation puts the density of states at the Fermi level at 8.56 states/eV/cell. The value obtained for the total moment is 0.385 μB per atom.

Unit cell a=7.026 b=3.504 c=8.896 alpha=90.00 beta=102.68 gamma=90.00
Sites, in units of the cell vectors:
La  0.177  0.250  0.150
La  0.823  0.750  0.850
Pu  0.062  0.250  0.593
Pu  0.938  0.750  0.407
Zr  0.353  0.750  0.867
Zr  0.647  0.250  0.133
N  0.116  0.250  0.857
N  0.245  0.750  0.616
N  0.424  0.750  0.122
N  0.576  0.250  0.878
N  0.755  0.250  0.384
N  0.884  0.750  0.143

Entry 4:
A relaxed Rb2La2N crystal, computed with PBE.

Computed properties:
The total energy comes out at -14.70 eV per cell. Its mass density is 4.5 g/cm³. As for the space group: I4/mmm (139). The calculation puts the density of states at the Fermi level at 6.69 states/eV/cell. The value obtained for the total moment is 0.165 μB per atom.

Unit cell a=11.093 b=11.093 c=11.093 alpha=159.29 beta=159.29 gamma=29.45
Sites, in units of the cell vectors:
Rb  0.250  0.750  0.500
Rb  0.750  0.250  0.500
La  0.067  0.067  0.000
La  0.933  0.933  0.000
N  0.500  0.500  0.000